(1)
This record from the Alexandria database describes a relaxed structure of ScFe2. The functional is PBE. Values from VASP.

**Crystal system**: cubic
**Energy of formation from the pure elements**: -0.2718 eV per atom

Cell and atoms, written as Quantum ESPRESSO input:
```
&SYSTEM
  ibrav = 0, nat = 6, ntyp = 2
/
ATOMIC_SPECIES
Sc 44.96 Sc.upf
Fe 55.84 Fe.upf
CELL_PARAMETERS angstrom
0.0000 3.4756 3.4756
3.4756 0.0000 3.4756
3.4756 3.4756 0.0000
ATOMIC_POSITIONS crystal
Sc 0.1250 0.1250 0.1250
Sc 0.8750 0.8750 0.8750
Fe 0.0000 0.5000 0.5000
Fe 0.5000 0.0000 0.5000
Fe 0.5000 0.5000 0.0000
Fe 0.5000 0.5000 0.5000
```

(2)
This record from the Alexandria database describes a relaxed structure of Na6Bi2B4SO16. The functional is PBE. Values from VASP.

**Raw formation energy**: -54.6 eV per formula unit
**Crystal system**: cubic

Cell and atoms, written as Quantum ESPRESSO input:
```
&SYSTEM
  ibrav = 0, nat = 58, ntyp = 5
/
ATOMIC_SPECIES
Na 22.99 Na.upf
Bi 208.98 Bi.upf
B 10.81 B.upf
S 32.06 S.upf
O 16.00 O.upf
CELL_PARAMETERS angstrom
0.0000 7.2683 7.2683
7.2683 0.0000 7.2683
7.2683 7.2683 0.0000
ATOMIC_POSITIONS crystal
Na 0.0842 0.0842 0.6658
Na 0.0842 0.6658 0.0842
Na 0.0842 0.6658 0.6658
Na 0.3342 0.3342 0.9158
Na 0.3342 0.9158 0.3342
Na 0.3342 0.9158 0.9158
Na 0.6658 0.0842 0.0842
Na 0.6658 0.0842 0.6658
Na 0.6658 0.6658 0.0842
Na 0.9158 0.3342 0.3342
Na 0.9158 0.3342 0.9158
Na 0.9158 0.9158 0.3342
Bi 0.0000 0.5000 0.5000
Bi 0.5000 0.0000 0.5000
Bi 0.5000 0.5000 0.0000
Bi 0.5000 0.5000 0.5000
B 0.2787 0.2787 0.2787
B 0.2787 0.2787 0.6639
B 0.2787 0.6639 0.2787
B 0.3361 0.7213 0.7213
B 0.6639 0.2787 0.2787
B 0.7213 0.3361 0.7213
B 0.7213 0.7213 0.3361
B 0.7213 0.7213 0.7213
S 0.1250 0.1250 0.1250
S 0.8750 0.8750 0.8750
O 0.0655 0.0655 0.0655
O 0.0655 0.0655 0.3035
O 0.0655 0.3035 0.0655
O 0.1375 0.2889 0.4068
O 0.1375 0.4068 0.6668
O 0.1375 0.6668 0.2889
O 0.2889 0.1375 0.6668
O 0.2889 0.4068 0.1375
O 0.2889 0.6668 0.4068
O 0.3035 0.0655 0.0655
O 0.3332 0.5932 0.7111
O 0.3332 0.7111 0.8625
O 0.3332 0.8625 0.5932
O 0.4068 0.1375 0.2889
O 0.4068 0.2889 0.6668
O 0.4068 0.6668 0.1375
O 0.5932 0.3332 0.8625
O 0.5932 0.7111 0.3332
O 0.5932 0.8625 0.7111
O 0.6668 0.1375 0.4068
O 0.6668 0.2889 0.1375
O 0.6668 0.4068 0.2889
O 0.6965 0.9345 0.9345
O 0.7111 0.3332 0.5932
O 0.7111 0.5932 0.8625
O 0.7111 0.8625 0.3332
O 0.8625 0.3332 0.7111
O 0.8625 0.5932 0.3332
O 0.8625 0.7111 0.5932
O 0.9345 0.6965 0.9345
O 0.9345 0.9345 0.6965
O 0.9345 0.9345 0.9345
```

(3)
This record from the Alexandria database describes a relaxed structure of GdHo2Be. The functional is PBE. Values from VASP.

**Crystal system**: trigonal
**Energy of formation from the pure elements**: 0.6944 eV per atom

Cell and atoms, written as Quantum ESPRESSO input:
```
&SYSTEM
  ibrav = 0, nat = 4, ntyp = 3
/
ATOMIC_SPECIES
Gd 157.25 Gd.upf
Ho 164.93 Ho.upf
Be 9.01 Be.upf
CELL_PARAMETERS angstrom
1.7101 0.9873 11.3586
-1.7101 0.9873 11.3586
0.0000 -1.9747 11.3586
ATOMIC_POSITIONS crystal
Gd 0.0000 0.0000 0.0000
Ho 0.4161 0.4161 0.4161
Ho 0.5839 0.5839 0.5839
Be 0.5000 0.5000 0.5000
```

no.,theoretical density (g/cm³)
1,6.20
2,3.84
3,7.16